1.
The following is a DFT calculation (SCAN) of a crystal of RbLiMn2Ni relaxed with PBEsol.

CIF file:
```
data_RbLiMn2Ni
_cell_length_a 4.582
_cell_length_b 4.582
_cell_length_c 4.909
_cell_angle_alpha 90.00
_cell_angle_beta 90.00
_cell_angle_gamma 90.00
_space_group_name_H-M_alt 'P 4/m m m'
_space_group_IT_number 123
_space_group_name_Hall '-P 4 2'
loop_
_atom_site_label
_atom_site_fract_x
_atom_site_fract_y
_atom_site_fract_z
_atom_site_occupancy
Rb1 0.000 0.000 0.000 1
Li1 0.000 0.000 0.500 1
Mn1 0.000 0.500 0.500 1
Ni1 0.500 0.500 0.000 1
```

DFT formation energy: 1361 meV per atom
total magnetic moment: 8.215 μB/f.u.

=====

2.
The following is a DFT calculation (SCAN) of a crystal of SrBe3Pd relaxed with PBEsol.

CIF file:
```
data_SrBe3Pd
_cell_length_a 4.383
_cell_length_b 4.383
_cell_length_c 4.383
_cell_angle_alpha 90.00
_cell_angle_beta 90.00
_cell_angle_gamma 90.00
_space_group_name_H-M_alt 'P m -3 m'
_space_group_IT_number 221
_space_group_name_Hall '-P 4 2 3'
loop_
_atom_site_label
_atom_site_fract_x
_atom_site_fract_y
_atom_site_fract_z
_atom_site_occupancy
Sr1 0.000 0.000 0.000 1
Be1 0.000 0.500 0.500 1
Pd1 0.500 0.500 0.500 1
```

DFT formation energy: -60 meV per atom
total magnetic moment: 0.000 μB/f.u.

=====

3.
The following is a DFT calculation (SCAN) of a crystal of TaMoW2 relaxed with PBEsol.

CIF file:
```
data_TaMoW2
_cell_length_a 3.170
_cell_length_b 3.170
_cell_length_c 6.357
_cell_angle_alpha 90.00
_cell_angle_beta 90.00
_cell_angle_gamma 90.00
_space_group_name_H-M_alt 'P 4 m m'
_space_group_IT_number 99
_space_group_name_Hall 'P 4 -2'
loop_
_atom_site_label
_atom_site_fract_x
_atom_site_fract_y
_atom_site_fract_z
_atom_site_occupancy
Ta1 0.000 0.000 0.000 1
Mo1 0.500 0.500 0.747 1
W1 0.000 0.000 0.503 1
W2 0.500 0.500 0.256 1
```

DFT formation energy: -119 meV per atom
total magnetic moment: 0.000 μB/f.u.
offset from the most stable computed form: 0.007 eV/atom

=====

4.
The following is a DFT calculation (SCAN) of a crystal of Y3HgN relaxed with PBEsol.

CIF file:
```
data_Y3HgN
_cell_length_a 4.738
_cell_length_b 4.738
_cell_length_c 4.738
_cell_angle_alpha 90.00
_cell_angle_beta 90.00
_cell_angle_gamma 90.00
_space_group_name_H-M_alt 'P m -3 m'
_space_group_IT_number 221
_space_group_name_Hall '-P 4 2 3'
loop_
_atom_site_label
_atom_site_fract_x
_atom_site_fract_y
_atom_site_fract_z
_atom_site_occupancy
Y1 0.000 0.000 0.500 1
Hg1 0.500 0.500 0.500 1
N1 0.000 0.000 0.000 1
```

E_form (uncorrected): -1222 meV per atom
total magnetic moment: 0.000 μB/f.u.

=====

5.
The following is a DFT calculation (SCAN) of a crystal of NaMg3P relaxed with PBEsol.

CIF file:
```
data_NaMg3P
_cell_length_a 5.044
_cell_length_b 5.044
_cell_length_c 5.044
_cell_angle_alpha 90.00
_cell_angle_beta 90.00
_cell_angle_gamma 90.00
_space_group_name_H-M_alt 'P m -3 m'
_space_group_IT_number 221
_space_group_name_Hall '-P 4 2 3'
loop_
_atom_site_label
_atom_site_fract_x
_atom_site_fract_y
_atom_site_fract_z
_atom_site_occupancy
Na1 0.000 0.000 0.000 1
Mg1 0.000 0.500 0.500 1
P1 0.500 0.500 0.500 1
```

DFT formation energy: -31 meV per atom
total magnetic moment: 0.000 μB/f.u.

=====

6.
The following is a DFT calculation (SCAN) of a crystal of Na2PtC2 relaxed with PBEsol.

CIF file:
```
data_Na2PtC2
_cell_length_a 4.4966
_cell_length_b 4.4966
_cell_length_c 5.1772
_cell_angle_alpha 90.00
_cell_angle_beta 90.00
_cell_angle_gamma 120.00
_space_group_name_H-M_alt 'P -3 m 1'
_space_group_IT_number 164
_space_group_name_Hall '-P 3 2"'
loop_
_atom_site_label
_atom_site_fract_x
_atom_site_fract_y
_atom_site_fract_z
_atom_site_occupancy
Na1 0.3333 0.6667 0.2710 1
Pt1 0.0000 0.0000 0.0000 1
C1 0.0000 0.0000 0.3769 1
```

DFT formation energy: -135 meV per atom
total magnetic moment: 0.000 μB/f.u.
offset from the most stable computed form: 0.000 eV/atom

=====

7.
The following is a DFT calculation (SCAN) of a crystal of Zr2CdHg relaxed with PBEsol.

CIF file:
```
data_Zr2CdHg
_cell_length_a 3.078
_cell_length_b 3.078
_cell_length_c 8.635
_cell_angle_alpha 90.00
_cell_angle_beta 90.00
_cell_angle_gamma 90.00
_space_group_name_H-M_alt 'P 4/m m m'
_space_group_IT_number 123
_space_group_name_Hall '-P 4 2'
loop_
_atom_site_label
_atom_site_fract_x
_atom_site_fract_y
_atom_site_fract_z
_atom_site_occupancy
Zr1 0.000 0.000 0.247 1
Cd1 0.500 0.500 0.500 1
Hg1 0.500 0.500 0.000 1
```

DFT formation energy: -275 meV per atom
total magnetic moment: 0.001 μB/f.u.
offset from the most stable computed form: 0.013 eV/atom

=====

8.
The following is a DFT calculation (SCAN) of a crystal of LiFeSb2Te relaxed with PBEsol.

CIF file:
```
data_LiFeSb2Te
_cell_length_a 4.700
_cell_length_b 4.700
_cell_length_c 5.773
_cell_angle_alpha 90.00
_cell_angle_beta 90.00
_cell_angle_gamma 90.00
_space_group_name_H-M_alt 'P 4/m m m'
_space_group_IT_number 123
_space_group_name_Hall '-P 4 2'
loop_
_atom_site_label
_atom_site_fract_x
_atom_site_fract_y
_atom_site_fract_z
_atom_site_occupancy
Li1 0.000 0.000 0.000 1
Fe1 0.500 0.500 0.500 1
Sb1 0.000 0.500 0.500 1
Te1 0.500 0.500 0.000 1
```

E_form (uncorrected): 228 meV per atom
total magnetic moment: 0.001 μB/f.u.